# 1
This record from Alexandria via LeMat-Bulk describes crystalline CrInCu2 at its relaxed geometry. The functional is PBE.

Structure (CIF):
```
data_CrInCu2
_chemical_formula_sum 'Cr4 In4 Cu8'
_cell_length_a 6.249
_cell_length_b 6.249
_cell_length_c 6.249
_cell_angle_alpha 90.00
_cell_angle_beta 90.00
_cell_angle_gamma 90.00
_space_group_name_H-M_alt 'F -4 3 m'
_space_group_IT_number 216
_space_group_name_Hall 'F -4 2 3'
loop_
_atom_site_label
_atom_site_type_symbol
_atom_site_fract_x
_atom_site_fract_y
_atom_site_fract_z
Cr1 Cr 0.000 0.000 0.000
In1 In 0.250 0.250 0.750
Cu1 Cu 0.000 0.000 0.500
Cu2 Cu 0.250 0.250 0.250
```

---

# 2
This record from Alexandria via LeMat-Bulk describes crystalline KFeMo3 at its relaxed geometry. The functional is PBE.

Structure (CIF):
```
data_KFeMo3
_chemical_formula_sum 'K1 Fe1 Mo3'
_cell_length_a 4.414
_cell_length_b 4.414
_cell_length_c 4.414
_cell_angle_alpha 90.00
_cell_angle_beta 90.00
_cell_angle_gamma 90.00
_space_group_name_H-M_alt 'P m -3 m'
_space_group_IT_number 221
_space_group_name_Hall '-P 4 2 3'
loop_
_atom_site_label
_atom_site_type_symbol
_atom_site_fract_x
_atom_site_fract_y
_atom_site_fract_z
K1 K 0.000 0.000 0.000
Fe1 Fe 0.500 0.500 0.500
Mo1 Mo 0.000 0.000 0.500
```

---

# 3
This record from Alexandria via LeMat-Bulk describes crystalline LiCu2Au2 at its relaxed geometry. The functional is PBE.

Structure (CIF):
```
data_LiCu2Au2
_chemical_formula_sum 'Li2 Cu4 Au4'
_cell_length_a 8.462
_cell_length_b 3.921
_cell_length_c 6.031
_cell_angle_alpha 90.00
_cell_angle_beta 132.82
_cell_angle_gamma 90.00
_space_group_name_H-M_alt 'C 1 2/m 1'
_space_group_IT_number 12
loop_
_space_group_symop_operation_xyz
'x,y,z'
'-x,-y,-z'
'-x,y,-z'
'x,-y,z'
'x+1/2,y+1/2,z'
'-x+1/2,-y+1/2,-z'
'-x+1/2,y+1/2,-z'
'x+1/2,-y+1/2,z'
loop_
_atom_site_label
_atom_site_type_symbol
_atom_site_fract_x
_atom_site_fract_y
_atom_site_fract_z
Li1 Li 0.000 0.000 0.000
Cu1 Cu 0.191 0.000 0.591
Au1 Au 0.087 0.500 0.801
```

---

# 4
This record from Alexandria via LeMat-Bulk describes crystalline TaIr2W at its relaxed geometry. The functional is PBE.

Structure (CIF):
```
data_TaIr2W
_chemical_formula_sum 'Ta3 Ir6 W3'
_cell_length_a 2.8203
_cell_length_b 2.8203
_cell_length_c 27.7987
_cell_angle_alpha 90.00
_cell_angle_beta 90.00
_cell_angle_gamma 120.00
_space_group_name_H-M_alt 'R 3 m'
_space_group_IT_number 160
_space_group_name_Hall 'R 3 -2"'
loop_
_atom_site_label
_atom_site_type_symbol
_atom_site_fract_x
_atom_site_fract_y
_atom_site_fract_z
Ta1 Ta 0.0000 0.0000 0.0000
Ir1 Ir 0.0000 0.0000 0.4985
Ir2 Ir 0.0000 0.0000 0.7466
W1 W 0.0000 0.0000 0.2419
```

---

# 5
This record from Alexandria via LeMat-Bulk describes crystalline ScBe at its relaxed geometry. The functional is PBE.

Structure (CIF):
```
data_ScBe
_chemical_formula_sum 'Sc4 Be4'
_cell_length_a 5.117
_cell_length_b 5.117
_cell_length_c 5.255
_cell_angle_alpha 90.00
_cell_angle_beta 90.00
_cell_angle_gamma 90.00
_space_group_name_H-M_alt 'P 42/m n m'
_space_group_IT_number 136
_space_group_name_Hall '-P 4n 2n'
loop_
_atom_site_label
_atom_site_type_symbol
_atom_site_fract_x
_atom_site_fract_y
_atom_site_fract_z
Sc1 Sc 0.194 0.194 0.000
Be1 Be 0.162 0.162 0.500
```

---

# 6
This record from Alexandria via LeMat-Bulk describes crystalline YZr2AlC at its relaxed geometry. The functional is PBE.

Structure (CIF):
```
data_YZr2AlC
_chemical_formula_sum 'Y1 Zr2 Al1 C1'
_cell_length_a 4.573
_cell_length_b 4.573
_cell_length_c 4.791
_cell_angle_alpha 90.00
_cell_angle_beta 90.00
_cell_angle_gamma 90.00
_space_group_name_H-M_alt 'P 4/m m m'
_space_group_IT_number 123
_space_group_name_Hall '-P 4 2'
loop_
_atom_site_label
_atom_site_type_symbol
_atom_site_fract_x
_atom_site_fract_y
_atom_site_fract_z
Y1 Y 0.000 0.000 0.000
Zr1 Zr 0.000 0.500 0.500
Al1 Al 0.500 0.500 0.000
C1 C 0.000 0.000 0.500
```

---

# 7
This record from Alexandria via LeMat-Bulk describes crystalline CoTcRh2 at its relaxed geometry. The functional is PBE.

Structure (CIF):
```
data_CoTcRh2
_chemical_formula_sum 'Co2 Tc2 Rh4'
_cell_length_a 8.838
_cell_length_b 2.688
_cell_length_c 4.637
_cell_angle_alpha 90.00
_cell_angle_beta 100.32
_cell_angle_gamma 90.00
_space_group_name_H-M_alt 'C 1 m 1'
_space_group_IT_number 8
loop_
_space_group_symop_operation_xyz
'x,y,z'
'x,-y,z'
'x+1/2,y+1/2,z'
'x+1/2,-y+1/2,z'
loop_
_atom_site_label
_atom_site_type_symbol
_atom_site_fract_x
_atom_site_fract_y
_atom_site_fract_z
Co1 Co 0.000 0.000 0.000
Tc1 Tc 0.253 0.000 0.746
Rh1 Rh 0.002 0.500 0.511
Rh2 Rh 0.247 0.500 0.231
```

---

# 8
This record from Alexandria via LeMat-Bulk describes crystalline Ce2NpAs3Ir4 at its relaxed geometry. The functional is PBE.

Structure (CIF):
```
data_Ce2NpAs3Ir4
_chemical_formula_sum 'Ce2 Np1 As3 Ir4'
_cell_length_a 4.138
_cell_length_b 4.138
_cell_length_c 11.384
_cell_angle_alpha 90.00
_cell_angle_beta 90.00
_cell_angle_gamma 90.00
_space_group_name_H-M_alt 'P -4 m 2'
_space_group_IT_number 115
loop_
_space_group_symop_operation_xyz
'x,y,z'
'y,-x,-z'
'-x,-y,z'
'-y,x,-z'
'-x,y,z'
'-y,-x,-z'
'x,-y,z'
'y,x,-z'
loop_
_atom_site_label
_atom_site_type_symbol
_atom_site_fract_x
_atom_site_fract_y
_atom_site_fract_z
Ce1 Ce 0.000 0.500 0.232
Np1 Np 0.000 0.000 0.500
As1 As 0.000 0.500 0.873
As2 As 0.500 0.500 0.500
Ir1 Ir 0.000 0.000 0.000
Ir2 Ir 0.000 0.500 0.659
Ir3 Ir 0.500 0.500 0.000
```

---

no.,final energy (eV per atom)
1,-4.8878
2,-5.0489
3,-3.5375
4,-10.6838
5,-4.6944
6,-7.7517
7,-8.0082
8,-8.0930